Entry 1:
## Pr3Ho4Pt4 (PBE)

Data for a geometry-optimized Pr3Ho4Pt4 structure.

As for the space group: Immm. As for the calculated formation energy: -0.895 eV per atom.

a b c (Å): 9.0387 9.0387 9.0387
angles (deg): 150.28 128.81 60.32
Last column: nearest neighbours and their distance in Å.
Fractional positions:
Pr 0.0000 0.0000 0.0000  6 Pt 3.26-3.36
Pr 0.3979 0.8979 0.5000  4 Pt 3.18, 1 Pr 3.19, 4 Ho 3.41
Pr 0.6021 0.1021 0.5000  4 Pt 3.18, 1 Pr 3.19, 4 Ho 3.41
Ho 0.0392 0.3281 0.7111  4 Pt 2.80-2.93
Ho 0.3830 0.6719 0.7111  4 Pt 2.80-2.93
Ho 0.6170 0.3281 0.2889  4 Pt 2.80-2.93
Ho 0.9608 0.6719 0.2889  4 Pt 2.80-2.93
Pt 0.2086 0.2086 0.0000  6 Ho 2.90-2.93
Pt 0.3117 0.5000 0.8117  2 Ho 2.80, 1 Pt 2.94
Pt 0.6883 0.5000 0.1883  2 Ho 2.80, 1 Pt 2.94
Pt 0.7914 0.7914 0.0000  6 Ho 2.90-2.93



Entry 2:
## PrHo2Pt2 (PBE)

Data for a geometry-optimized PrHo2Pt2 structure.

As for the space group: P2_1/m. As for the calculated formation energy: -1.011 eV per atom.

a b c (Å): 5.4447 4.6748 10.4720
angles (deg): 90.00 96.54 90.00
Last column: nearest neighbours and their distance in Å.
Fractional positions:
Pr 0.0815 0.2500 0.2799  5 Pt 3.02-3.12
Pr 0.9185 0.7500 0.7201  5 Pt 3.02-3.12
Ho 0.2720 0.7500 0.0273  4 Pt 2.87-2.94
Ho 0.3737 0.2500 0.6131  5 Pt 2.79-2.95
Ho 0.6263 0.7500 0.3869  5 Pt 2.79-2.95
Ho 0.7280 0.2500 0.9727  4 Pt 2.87-2.94
Pt 0.1605 0.7500 0.4744  4 Ho 2.79-2.95, 2 Pt 3.00, 3 Pr 3.02-3.10
Pt 0.2037 0.2500 0.8685  5 Ho 2.87-2.94, 2 Pr 3.12
Pt 0.7963 0.7500 0.1315  5 Ho 2.87-2.94, 2 Pr 3.12
Pt 0.8395 0.2500 0.5256  4 Ho 2.79-2.95, 2 Pt 3.00, 3 Pr 3.02-3.10



Entry 3:
## PrHo3Pt (PBE)

Data for a geometry-optimized PrHo3Pt structure.

As for the space group: Pm-3m. As for the calculated formation energy: -0.398 eV per atom.

a b c (Å): 5.4739 5.4739 5.4739
angles (deg): 90.00 90.00 90.00
Last column: nearest neighbours and their distance in Å.
Fractional positions:
Pr 0.0000 0.0000 0.0000  12 Ho 3.87
Ho 0.0000 0.5000 0.5000  2 Pt 2.74
Ho 0.5000 0.0000 0.5000  2 Pt 2.74
Ho 0.5000 0.5000 0.0000  2 Pt 2.74
Pt 0.5000 0.5000 0.5000  6 Ho 2.74



Entry 4:
## Pr2HoPt (PBE)

Data for a geometry-optimized Pr2HoPt structure.

As for the space group: R-3m. As for the calculated formation energy: -0.200 eV per atom.

a b c (Å): 10.9750 10.9750 10.9750
angles (deg): 19.97 19.97 19.97
Last column: nearest neighbours and their distance in Å.
Fractional positions:
Pr 0.1081 0.1081 0.1081  3 Pt 2.90
Pr 0.8919 0.8919 0.8919  3 Pt 2.90
Ho 0.0000 0.0000 0.0000  2 Pr 3.49, 6 Ho 3.81
Pt 0.5000 0.5000 0.5000  6 Pr 2.90



Entry 5:
## Pr2Ho2Pt3 (PBE)

Data for a geometry-optimized Pr2Ho2Pt3 structure.

As for the space group: I2_13. As for the calculated formation energy: -1.018 eV per atom.

a b c (Å): 7.7010 7.7010 7.7010
angles (deg): 109.47 109.47 109.47
Last column: nearest neighbours and their distance in Å.
Fractional positions:
Pr 0.0000 0.3726 0.5000  3 Pt 2.88
Pr 0.1274 0.1274 0.1274  3 Pt 2.88
Pr 0.3726 0.5000 0.0000  3 Pt 2.88
Pr 0.5000 0.0000 0.3726  3 Pt 2.88
Ho 0.0000 0.8774 0.5000  6 Pt 2.90-3.20
Ho 0.5000 0.0000 0.8774  6 Pt 2.90-3.20
Ho 0.6226 0.6226 0.6226  6 Pt 2.90-3.20
Ho 0.8774 0.5000 0.0000  6 Pt 2.90-3.20
Pt 0.1119 0.7500 0.8619  2 Pr 2.88, 4 Ho 2.90-3.20
Pt 0.2500 0.6381 0.3881  2 Pr 2.88, 4 Ho 2.90-3.20
Pt 0.3881 0.2500 0.6381  2 Pr 2.88, 4 Ho 2.90-3.20
Pt 0.6381 0.3881 0.2500  2 Pr 2.88, 4 Ho 2.90-3.20
Pt 0.7500 0.8619 0.1119  2 Pr 2.88, 4 Ho 2.90-3.20
Pt 0.8619 0.1119 0.7500  2 Pr 2.88, 4 Ho 2.90-3.20



Entry 6:
## PrHoPt2 (PBE)

Data for a geometry-optimized PrHoPt2 structure.

As for the space group: Fm-3m. As for the calculated formation energy: -1.097 eV per atom.

a b c (Å): 5.0383 5.0383 5.0383
angles (deg): 60.00 60.00 60.00
Last column: nearest neighbours and their distance in Å.
Fractional positions:
Pr 0.0000 0.0000 0.0000  8 Pt 3.09
Ho 0.5000 0.5000 0.5000  8 Pt 3.09
Pt 0.2500 0.2500 0.2500  4 Ho 3.09, 4 Pr 3.09
Pt 0.7500 0.7500 0.7500  4 Ho 3.09, 4 Pr 3.09



| no. | density of states at the Fermi level (states/eV/f.u.) | total energy (eV per atom) |
| --- | --- | --- |
| 1 | 11.05 | -6.06 |
| 2 | 3.75 | -6.21 |
| 3 | 7.67 | -5.31 |
| 4 | 5.41 | -5.24 |
| 5 | 5.33 | -6.28 |
| 6 | 3.49 | -6.46 |